1.
# ScPtAu3

A geometry-optimized ScPtAu3 structure (PBE-GGA, Alexandria via LeMat-Bulk).

Values from the calculation:
Energy of formation from the pure elements, eV/atom: 0.93
Excess energy over the best structure of this formula in the dataset, kJ/mol of atoms: 135.6
Symmetry: Pm-3m, No. 221
Spin magnetization, μB/f.u.: 0.00

The structure in POSCAR format:
```
ScPtAu3
1.0
4.983 0.000 0.000
0.000 4.983 0.000
0.000 0.000 4.983
Sc Pt Au
1 1 3
Cartesian
0.000 0.000 0.000
2.491 2.491 2.491
0.000 0.000 2.491
0.000 2.491 0.000
2.491 0.000 0.000
```

=====

2.
# Sc6PtAu5

A geometry-optimized Sc6PtAu5 structure (PBE-GGA, Alexandria via LeMat-Bulk).

Values from the calculation:
Energy of formation from the pure elements, eV/atom: -0.88
Symmetry: Immm, No. 71
Spin magnetization, μB/f.u.: 0.00

The structure in POSCAR format:
```
Sc6PtAu5
1.0
-2.387 3.404 7.179
2.387 -3.404 7.179
2.387 3.404 -7.179
Sc Pt Au
6 1 5
Cartesian
2.387 1.671 -2.342
0.000 1.644 0.000
2.387 1.671 2.342
0.000 1.733 4.837
0.000 5.164 0.000
0.000 1.733 9.521
2.387 0.000 0.000
0.000 0.000 2.479
2.387 0.000 4.810
0.000 0.000 7.179
0.000 3.404 2.369
0.000 0.000 11.880
```

=====

3.
# Sc3Pt2Au3

A geometry-optimized Sc3Pt2Au3 structure (PBE-GGA, Alexandria via LeMat-Bulk).

Values from the calculation:
Energy of formation from the pure elements, eV/atom: -0.96
Symmetry: P-62m, No. 189
Spin magnetization, μB/f.u.: 0.00

The structure in POSCAR format:
```
Sc3Pt2Au3
1.0
7.292 0.000 0.000
-3.646 6.315 0.000
0.000 0.000 3.273
Sc Pt Au
3 2 3
Cartesian
-1.480 2.564 0.000
2.960 0.000 0.000
2.166 3.751 0.000
0.000 4.210 1.637
3.646 2.105 1.637
-2.808 4.864 1.637
0.837 1.450 1.637
5.617 0.000 1.637
```

=====

4.
# Sc2Pt9Au

A geometry-optimized Sc2Pt9Au structure (PBE-GGA, Alexandria via LeMat-Bulk).

Values from the calculation:
Energy of formation from the pure elements, eV/atom: -0.69
Symmetry: P4/mmm, No. 123
Spin magnetization, μB/f.u.: 0.00

The structure in POSCAR format:
```
Sc2Pt9Au
1.0
3.997 0.000 0.000
0.000 3.997 0.000
0.000 0.000 12.142
Sc Pt Au
2 9 1
Cartesian
0.000 0.000 2.032
0.000 0.000 10.111
0.000 1.998 0.000
0.000 1.998 3.989
0.000 1.998 8.153
1.998 0.000 0.000
1.998 0.000 3.989
1.998 0.000 8.153
1.998 1.998 1.991
1.998 1.998 6.071
1.998 1.998 10.152
0.000 0.000 6.071
```

=====

5.
# ScPtAu

A geometry-optimized ScPtAu structure (PBE-GGA, Alexandria via LeMat-Bulk).

Values from the calculation:
Energy of formation from the pure elements, eV/atom: -0.59
Excess energy over the best structure of this formula in the dataset, kJ/mol of atoms: 31.9
Symmetry: P3m1, No. 156
Spin magnetization, μB/f.u.: 0.00

The structure in POSCAR format:
```
ScPtAu
1.0
3.508 0.000 0.000
-1.754 3.038 0.000
0.000 0.000 5.703
Sc Pt Au
1 1 1
Cartesian
0.000 0.000 0.000
0.000 2.026 4.039
1.754 1.013 2.019
```

=====

6.
# Sc2PtAu6

A geometry-optimized Sc2PtAu6 structure (PBE-GGA, Alexandria via LeMat-Bulk).

Values from the calculation:
Energy of formation from the pure elements, eV/atom: -0.59
Symmetry: C2/m, No. 12
Spin magnetization, μB/f.u.: 0.00

The structure in POSCAR format:
```
Sc2PtAu6
1.0
6.546 -1.957 0.000
6.546 1.957 0.000
-2.540 0.000 6.371
Sc Pt Au
2 1 6
Cartesian
-0.037 0.000 2.000
10.588 0.000 4.371
6.546 0.000 0.000
2.142 0.000 0.012
1.915 0.000 4.239
4.333 0.000 2.149
6.218 0.000 4.222
8.636 0.000 2.132
8.409 0.000 6.359
```

=====

7.
# ScPtAu

A geometry-optimized ScPtAu structure (PBE-GGA, Alexandria via LeMat-Bulk).

Values from the calculation:
Energy of formation from the pure elements, eV/atom: -0.92
Excess energy over the best structure of this formula in the dataset, kJ/mol of atoms: 0.0
Symmetry: I4mm, No. 107
Spin magnetization, μB/f.u.: 0.00

The structure in POSCAR format:
```
ScPtAu
1.0
3.493 0.000 0.000
0.000 3.493 0.000
0.000 0.000 8.889
Sc Pt Au
2 2 2
Cartesian
0.000 0.000 0.000
1.747 1.747 4.445
0.000 0.000 5.764
1.747 1.747 1.319
0.000 0.000 2.911
1.747 1.747 7.356
```

=====

8.
# Sc7Pt2Au2

A geometry-optimized Sc7Pt2Au2 structure (PBE-GGA, Alexandria via LeMat-Bulk).

Values from the calculation:
Energy of formation from the pure elements, eV/atom: -0.61
Symmetry: Cmmm, No. 65
Spin magnetization, μB/f.u.: 0.00

The structure in POSCAR format:
```
Sc7Pt2Au2
1.0
3.783 -5.021 0.000
3.783 5.021 0.000
0.000 0.000 6.665
Sc Pt Au
7 2 2
Cartesian
0.000 0.000 0.000
1.892 2.510 1.752
1.892 2.510 4.913
1.892 -2.510 1.752
1.892 -2.510 4.913
3.783 0.000 1.707
3.783 0.000 4.958
3.783 2.157 0.000
3.783 -2.157 0.000
1.476 0.000 3.332
6.091 0.000 3.332
```

=====

9.
# Sc4Pt3Au

A geometry-optimized Sc4Pt3Au structure (PBE-GGA, Alexandria via LeMat-Bulk).

Values from the calculation:
Energy of formation from the pure elements, eV/atom: -1.13
Symmetry: R-3m, No. 166
Spin magnetization, μB/f.u.: 0.00

The structure in POSCAR format:
```
Sc4Pt3Au
1.0
2.349 1.356 7.700
-2.349 1.356 7.700
0.000 -2.713 7.700
Sc Pt Au
4 3 1
Cartesian
0.000 0.000 2.838
0.000 0.000 8.623
0.000 0.000 14.476
0.000 0.000 20.262
0.000 0.000 0.000
0.000 0.000 5.801
0.000 0.000 17.298
0.000 0.000 11.550
```

=====

10.
# ScPtAu3

A geometry-optimized ScPtAu3 structure (PBE-GGA, Alexandria via LeMat-Bulk).

Values from the calculation:
Energy of formation from the pure elements, eV/atom: -0.48
Excess energy over the best structure of this formula in the dataset, kJ/mol of atoms: 0.0
Symmetry: P2_1/m, No. 11
Spin magnetization, μB/f.u.: 0.00

The structure in POSCAR format:
```
ScPtAu3
1.0
4.728 0.000 0.000
0.000 5.301 0.000
-2.332 0.000 7.481
Sc Pt Au
2 2 6
Cartesian
0.025 1.325 1.911
2.371 3.976 5.570
0.002 3.976 0.850
2.394 1.325 6.631
0.003 3.976 3.947
0.028 1.325 4.953
2.364 0.000 0.000
2.364 2.650 0.000
2.368 3.976 2.528
2.393 1.325 3.534
```

=====

11.
# ScPtAu

A geometry-optimized ScPtAu structure (PBE-GGA, Alexandria via LeMat-Bulk).

Values from the calculation:
Energy of formation from the pure elements, eV/atom: -0.60
Excess energy over the best structure of this formula in the dataset, kJ/mol of atoms: 31.0
Symmetry: F-43m, No. 216
Spin magnetization, μB/f.u.: 0.00

The structure in POSCAR format:
```
ScPtAu
1.0
6.317 0.000 0.000
0.000 6.317 0.000
0.000 0.000 6.317
Sc Pt Au
4 4 4
Cartesian
0.000 0.000 0.000
0.000 3.159 3.159
3.159 0.000 3.159
3.159 3.159 0.000
1.579 1.579 4.738
1.579 4.738 1.579
4.738 1.579 1.579
4.738 4.738 4.738
1.579 1.579 1.579
1.579 4.738 4.738
4.738 1.579 4.738
4.738 4.738 1.579
```

=====

12.
# ScPtAu

A geometry-optimized ScPtAu structure (PBE-GGA, Alexandria via LeMat-Bulk).

Values from the calculation:
Energy of formation from the pure elements, eV/atom: -0.12
Excess energy over the best structure of this formula in the dataset, kJ/mol of atoms: 77.3
Symmetry: I4mm, No. 107
Spin magnetization, μB/f.u.: 0.18

The structure in POSCAR format:
```
ScPtAu
1.0
2.965 0.000 0.000
0.000 2.965 0.000
0.000 0.000 14.123
Sc Pt Au
2 2 2
Cartesian
0.000 0.000 0.000
1.483 1.483 7.061
0.000 0.000 2.419
1.483 1.483 9.481
0.000 0.000 5.173
1.483 1.483 12.234
```